# PBE Hf2Sb2Pd, optimized geometry
data_Hf2Sb2Pd
_cell_length_a 7.478
_cell_length_b 7.478
_cell_length_c 3.989
_cell_angle_alpha 90.00
_cell_angle_beta 90.00
_cell_angle_gamma 90.00
_space_group_name_H-M_alt 'P 1'
_space_group_IT_number 1
loop_
_space_group_symop_operation_xyz
'x,y,z'
loop_
_atom_site_label
_atom_site_type_symbol
_atom_site_fract_x
_atom_site_fract_y
_atom_site_fract_z
_atom_site_occupancy
Pd1 Pd 0.000 0.000 0.000 1
Pd2 Pd 0.500 0.500 0.000 1
Hf1 Hf 0.650 0.150 0.000 1
Hf2 Hf 0.350 0.850 0.000 1
Hf3 Hf 0.150 0.350 0.000 1
Hf4 Hf 0.850 0.650 0.000 1
Sb1 Sb 0.344 0.156 0.500 1
Sb2 Sb 0.656 0.844 0.500 1
Sb3 Sb 0.844 0.344 0.500 1
Sb4 Sb 0.156 0.656 0.500 1
# Excess energy over the best structure of this formula in the dataset = 50 meV per atom
# Spin magnetization = 0.000 μB per atom
# Formation energy (no corrections) = -6.4 kcal/mol of atoms